a.
## NaNbZn2 (GGA-PBE)

Data for a relaxed structure of NaNbZn2.

POSCAR file:
```
NaNbZn2
1.0
-5.5991 -2.3431 3.8722
4.5238 -2.7077 4.9028
-0.5969 0.1292 5.9082
Zn Na Nb
4 2 2
Cartesian
-3.1326 -1.7913 4.5442
-0.8908 -1.7733 7.6786
-1.3487 -4.3465 12.1525
2.0277 -1.9323 4.9912
-0.5377 -2.5254 4.3875
1.6946 -2.5520 7.5993
-3.3668 -2.3697 7.0840
0.0000 0.0000 0.0000
```

## Properties
N(E_F) ... 3.95 states/eV/cell
Symmetry ... No. 122
Magnetic moment ... 0.00 μB per cell

b.
## NaNbZn2 (GGA-PBE)

Data for a relaxed structure of NaNbZn2.

POSCAR file:
```
NaNbZn2
1.0
0.0000 3.2728 3.2728
3.2728 0.0000 3.2728
3.2728 3.2728 0.0000
Nb Zn Na
1 2 1
Cartesian
3.2728 3.2728 3.2728
4.9092 4.9092 4.9092
1.6364 1.6364 1.6364
0.0000 0.0000 0.0000
```

## Properties
N(E_F) ... 2.04 states/eV/cell
Symmetry ... No. 225
Magnetic moment ... 0.00 μB per cell

Quick one: least stable of them? a

a.
## NaZrNb3 (GGA-PBE)

Data for a relaxed structure of NaZrNb3.

POSCAR file:
```
NaZrNb3
1.0
4.7455 0.0000 0.0000
0.0000 4.7455 0.0000
0.0000 0.0000 4.7455
Nb Zr Na
3 1 1
Cartesian
2.3728 0.0000 0.0000
0.0000 0.0000 2.3728
0.0000 2.3728 0.0000
2.3728 2.3728 2.3728
0.0000 0.0000 0.0000
```

## Properties
N(E_F) ... 7.83 states/eV/cell
Symmetry ... No. 221
Magnetic moment ... 0.00 μB per cell

b.
## NaZrNb3 (GGA-PBE)

Data for a relaxed structure of NaZrNb3.

POSCAR file:
```
NaZrNb3
1.0
5.0242 0.0000 0.0000
0.0000 5.0242 0.0000
0.0000 0.0000 5.0242
Na Nb Zr
1 3 1
Cartesian
2.5121 2.5121 2.5121
0.0000 2.5121 0.0000
0.0000 0.0000 2.5121
2.5121 0.0000 0.0000
0.0000 0.0000 0.0000
```

## Properties
N(E_F) ... 11.08 states/eV/cell
Symmetry ... No. 221
Magnetic moment ... 0.00 μB per cell

Quick one: least stable of them? a

a.
## Na3ZrNb (GGA-PBE)

Data for a relaxed structure of Na3ZrNb.

POSCAR file:
```
Na3ZrNb
1.0
-3.0543 -4.4980 1.0129
1.6486 -2.2001 -4.7988
4.3058 -2.3482 2.5558
Nb Zr Na
1 1 3
Cartesian
0.0000 0.0000 0.0000
1.4501 -4.5232 -0.6150
0.8243 -1.1000 -2.3994
-1.5271 -2.2490 0.5065
2.1529 -1.1741 1.2779
```

## Properties
N(E_F) ... 8.59 states/eV/cell
Symmetry ... No. 221
Magnetic moment ... 1.41 μB per cell

b.
## Na3ZrNb (GGA-PBE)

Data for a relaxed structure of Na3ZrNb.

POSCAR file:
```
Na3ZrNb
1.0
5.2644 0.0000 0.0000
0.0000 5.2644 0.0000
0.0000 0.0000 5.2644
Na Nb Zr
3 1 1
Cartesian
2.6322 0.0000 0.0000
0.0000 2.6322 0.0000
0.0000 0.0000 2.6322
2.6322 2.6322 2.6322
0.0000 0.0000 0.0000
```

## Properties
N(E_F) ... 0.76 states/eV/cell
Symmetry ... No. 221
Magnetic moment ... 0.00 μB per cell

Quick one: least stable of them? b

a.
## Na2ZrNb (GGA-PBE)

Data for a relaxed structure of Na2ZrNb.

POSCAR file:
```
Na2ZrNb
1.0
8.5327 0.0000 0.0000
0.0000 8.5327 0.0000
4.2663 4.2663 2.6391
Zr Na Nb
2 4 2
Cartesian
4.2663 4.2663 0.0000
4.2663 8.5327 1.3196
6.4764 2.1332 0.6598
10.6659 10.7428 1.9793
6.3995 6.3226 1.9793
2.0562 6.3995 0.6598
8.5327 4.2663 1.3196
0.0000 0.0000 0.0000
```

## Properties
N(E_F) ... 7.87 states/eV/cell
Symmetry ... No. 122
Magnetic moment ... 1.41 μB per cell

b.
## Na2ZrNb (GGA-PBE)

Data for a relaxed structure of Na2ZrNb.

POSCAR file:
```
Na2ZrNb
1.0
0.0000 3.5396 3.5396
3.5396 0.0000 3.5396
3.5396 3.5396 0.0000
Na Zr Nb
2 1 1
Cartesian
5.3094 5.3094 5.3094
1.7698 1.7698 1.7698
0.0000 0.0000 0.0000
3.5396 3.5396 3.5396
```

## Properties
N(E_F) ... 2.34 states/eV/cell
Symmetry ... No. 225
Magnetic moment ... 0.00 μB per cell

Quick one: least stable of them? b

a.
## NaZrNb2 (GGA-PBE)

Data for a relaxed structure of NaZrNb2.

POSCAR file:
```
NaZrNb2
1.0
-4.5303 -1.7367 -0.0944
-3.2092 1.4091 3.3563
-3.6865 2.9038 -1.2359
Na Zr Nb
1 1 2
Cartesian
0.0000 0.0000 0.0000
-5.7130 1.2881 1.0130
-2.8565 0.6440 0.5065
-8.5695 1.9321 1.5195
```

## Properties
N(E_F) ... 4.28 states/eV/cell
Symmetry ... No. 225
Magnetic moment ... 0.00 μB per cell

b.
## NaZrNb2 (GGA-PBE)

Data for a relaxed structure of NaZrNb2.

POSCAR file:
```
NaZrNb2
1.0
-0.9184 -1.3471 -3.6968
3.8560 -1.0632 -0.5705
-0.5326 -10.5589 1.7719
Nb Na Zr
4 2 2
Cartesian
0.6423 -8.8065 -0.2624
2.1763 -3.4517 -0.3183
-0.2394 -3.6355 -1.9963
2.2308 -10.0447 -2.4138
2.3961 -6.4136 -0.4661
1.4688 -1.2051 -2.1336
0.0000 0.0000 0.0000
0.0089 -6.5556 -2.0293
```

## Properties
N(E_F) ... 10.59 states/eV/cell
Symmetry ... No. 122
Magnetic moment ... 0.00 μB per cell

Quick one: least stable of them? b

a.
## NaNd (GGA-PBE)

Data for a relaxed structure of NaNd.

POSCAR file:
```
NaNd
1.0
3.6696 0.0000 0.0000
-1.8348 3.1779 0.0000
0.0000 0.0000 12.3450
Nd Na
2 2
Cartesian
0.0000 2.1186 1.4490
1.8348 1.0593 10.8961
1.8348 1.0593 4.5931
0.0000 2.1186 7.7519
```

## Properties
N(E_F) ... 3.47 states/eV/cell
Symmetry ... No. 164
Magnetic moment ... 0.00 μB per cell

b.
## NaNd (GGA-PBE)

Data for a relaxed structure of NaNd.

POSCAR file:
```
NaNd
1.0
-2.3897 -0.8893 2.6315
4.1514 -4.4795 2.2555
2.3784 3.9667 3.5003
Nd Na
2 2
Cartesian
0.2099 0.5397 1.6487
3.9303 -1.9418 6.7386
3.0069 0.7887 4.2718
1.1333 -2.1908 4.1155
```

## Properties
N(E_F) ... 2.41 states/eV/cell
Symmetry ... No. 59
Magnetic moment ... 0.00 μB per cell

Quick one: least stable of them? b

a.
## NaNdTiO4 (GGA-PBE)

Data for a relaxed structure of NaNdTiO4.

POSCAR file:
```
NaNdTiO4
1.0
-2.9208 -1.5397 1.7891
1.2249 -3.4218 -0.9451
7.0531 -0.5297 11.0588
O Ti Na Nd
8 2 2 2
Cartesian
0.8016 -2.6046 3.0083
7.1773 -2.2039 9.8206
4.8023 -2.0256 6.0969
1.4029 -0.9849 5.3839
4.5557 -2.8866 8.8945
5.4036 -0.4058 8.4725
1.6495 -0.1239 2.5863
-0.9721 -0.8065 1.6602
5.7513 -2.0968 7.5848
0.4539 -0.9136 3.8960
2.6485 -1.0784 7.3370
3.5567 -1.9320 4.1438
1.3740 -1.7681 0.7215
4.8312 -1.2423 10.7593
```

## Properties
N(E_F) ... 0.00 states/eV/cell
Symmetry ... No. 129
Magnetic moment ... 0.00 μB per cell

b.
## NaNdTiO4 (GGA-PBE)

Data for a relaxed structure of NaNdTiO4.

POSCAR file:
```
NaNdTiO4
1.0
3.7976 0.0000 0.0000
0.0000 3.7976 0.0000
-1.8988 -1.8988 6.2331
O Na Ti Nd
4 1 1 1
Cartesian
0.0000 0.0000 2.0412
1.8988 1.8988 4.1445
0.0000 1.8988 6.1086
1.8988 0.0000 6.1086
1.8988 1.8988 1.8919
0.0000 0.0000 0.2169
0.0000 0.0000 4.4205
```

## Properties
N(E_F) ... 0.00 states/eV/cell
Symmetry ... No. 107
Magnetic moment ... 0.00 μB per cell

Quick one: least stable of them? b